# 1
Rb2In2Ge, relaxed, DFT PBE; uncorrected energy = -2.36 eV/atom; symmetry = No. 127
1.0
-7.597 -0.610 0.367
-0.166 -2.303 -7.272
0.566 -5.924 1.863
In Rb Ge
4 4 2
Direct
0.862 0.638 0.000 In
0.638 0.138 0.000 In
0.362 0.862 0.000 In
0.138 0.362 0.000 In
0.317 0.183 0.500 Rb
0.683 0.817 0.500 Rb
0.817 0.317 0.500 Rb
0.183 0.683 0.500 Rb
0.500 0.500 0.000 Ge
0.000 0.000 0.000 Ge



# 2
RbInGe2, relaxed, DFT PBE; uncorrected energy = -3.09 eV/atom; symmetry = No. 141
1.0
5.379 0.000 0.000
0.000 5.379 0.000
2.689 2.689 9.703
Ge In Rb
4 2 2
Direct
0.875 0.125 0.250 Ge
0.375 0.125 0.750 Ge
0.875 0.125 0.750 Ge
0.875 0.625 0.250 Ge
0.000 0.000 0.000 In
0.750 0.250 0.500 In
0.500 0.500 0.000 Rb
0.250 0.750 0.500 Rb